Er3Tl2AgF12 | Alexandria | PBE | optimized geometry; total energy = -5.66 eV/atom; formation energy (no corrections) = -311.8 kJ per mole of atoms; density = 5.69 Mg/m³; density of states at the Fermi level = 0.00 states/eV per cell
1.0
4.1704 2.4078 6.0418
-4.1704 2.4078 6.0418
0.0000 -4.8155 6.0418
Er Tl Ag F
3 2 1 12
Direct
0.0000 0.5000 0.5000
0.5000 0.0000 0.5000
0.5000 0.5000 0.0000
0.1375 0.1375 0.1375
0.8625 0.8625 0.8625
0.5000 0.5000 0.5000
0.0942 0.6292 0.6292
0.2189 0.2189 0.5855
0.2189 0.5855 0.2189
0.3708 0.3708 0.9058
0.3708 0.9058 0.3708
0.4145 0.7811 0.7811
0.5855 0.2189 0.2189
0.6292 0.0942 0.6292
0.6292 0.6292 0.0942
0.7811 0.4145 0.7811
0.7811 0.7811 0.4145
0.9058 0.3708 0.3708

ErFeAg | Alexandria | PBE | optimized geometry; total energy = -5.30 eV/atom; energy of formation = -0.4 kJ/mol of atoms; density = 9.45 Mg/m³; density of states at the Fermi level = 10.61 states/eV per cell
1.0
12.6081 0.0000 0.0000
0.0000 3.8383 0.0000
-0.9748 0.0000 4.8061
Er Fe Ag
4 4 4
Direct
0.1269 0.0000 0.3301
0.3731 0.5000 0.6699
0.6269 0.5000 0.3301
0.8731 0.0000 0.6699
0.2323 0.0000 0.9048
0.2677 0.5000 0.0952
0.7323 0.5000 0.9048
0.7677 0.0000 0.0952
0.0714 0.5000 0.7812
0.4286 0.0000 0.2188
0.5714 0.0000 0.7812
0.9286 0.5000 0.2188

ErFe4Ag | Alexandria | PBE | optimized geometry; total energy = -6.85 eV/atom; energy of formation = 2.2 kJ/mol of atoms; density = 9.22 Mg/m³; density of states at the Fermi level = 5.46 states/eV per cell
1.0
0.0000 3.5538 3.5538
3.5538 0.0000 3.5538
3.5538 3.5538 0.0000
Er Fe Ag
1 4 1
Direct
0.0000 0.0000 0.0000
0.3746 0.3746 0.3746
0.3746 0.3746 0.8761
0.3746 0.8761 0.3746
0.8761 0.3746 0.3746
0.7500 0.7500 0.7500

Er5Fe2Ag2 | Alexandria | PBE | optimized geometry; total energy = -5.19 eV/atom; energy of formation = -13.2 kJ/mol of atoms; density = 9.40 Mg/m³; density of states at the Fermi level = 18.22 states/eV per cell
1.0
8.0640 -3.5542 0.0000
8.0640 3.5542 0.0000
0.0000 0.0000 7.1737
Er Fe Ag
10 4 4
Direct
0.0000 0.0000 0.0000
0.0562 0.6931 0.6827
0.1931 0.5562 0.1827
0.3069 0.9438 0.6827
0.4438 0.8069 0.1827
0.5000 0.5000 0.5000
0.5562 0.1931 0.8173
0.6931 0.0562 0.3173
0.8069 0.4438 0.8173
0.9438 0.3069 0.3173
0.1057 0.8943 0.3913
0.3943 0.6057 0.8913
0.6057 0.3943 0.1087
0.8943 0.1057 0.6087
0.2215 0.2215 0.0000
0.2785 0.2785 0.5000
0.7215 0.7215 0.5000
0.7785 0.7785 0.0000